# 1
! ScCr2FeSb PBEsol relaxed; values from VASP
! * formation energy from raw total energies: 630 meV per atom
! * density of states at the Fermi level: 6.2 states/eV per cell
! * M_tot: 5.1 μB per formula unit
! * E_tot: -37.459 eV for the cell shown
&SYSTEM
  ibrav = 0, nat = 5, ntyp = 4
/
ATOMIC_SPECIES
Sc 44.96 Sc.upf
Cr 52.00 Cr.upf
Fe 55.84 Fe.upf
Sb 121.76 Sb.upf
CELL_PARAMETERS angstrom
4.356 0.000 0.000
0.000 4.356 0.000
0.000 0.000 4.757
ATOMIC_POSITIONS angstrom
Sc 0.000 0.000 0.000
Cr 0.000 2.178 2.378
Cr 2.178 0.000 2.378
Fe 2.178 2.178 2.378
Sb 2.178 2.178 0.000

***

# 2
! ScCrFe2 PBEsol relaxed; values from VASP
! * ΔH_f (0 K): 360 meV/atom
! * density of states at the Fermi level: 4.9 states/eV per cell
! * M_tot: 5.7 μB per formula unit
! * relative energy among the computed polymorphs: 0.2386 eV per atom
! * E_tot: -33.333 eV for the cell shown
&SYSTEM
  ibrav = 0, nat = 4, ntyp = 3
/
ATOMIC_SPECIES
Sc 44.96 Sc.upf
Cr 52.00 Cr.upf
Fe 55.84 Fe.upf
CELL_PARAMETERS angstrom
3.669 0.000 0.000
0.000 3.669 0.000
0.000 0.000 3.920
ATOMIC_POSITIONS angstrom
Sc 0.000 0.000 0.000
Cr 1.834 1.834 0.000
Fe 0.000 1.834 1.960
Fe 1.834 0.000 1.960

***

# 3
! ScCrFe2 PBEsol relaxed; values from VASP
! * ΔH_f (0 K): 122 meV/atom
! * density of states at the Fermi level: 5.1 states/eV per cell
! * M_tot: 1.0 μB per formula unit
! * relative energy among the computed polymorphs: 0.0000 eV per atom
! * E_tot: -34.288 eV for the cell shown
&SYSTEM
  ibrav = 0, nat = 4, ntyp = 3
/
ATOMIC_SPECIES
Sc 44.96 Sc.upf
Cr 52.00 Cr.upf
Fe 55.84 Fe.upf
CELL_PARAMETERS angstrom
0.000 2.902 2.902
2.902 0.000 2.902
2.902 2.902 0.000
ATOMIC_POSITIONS angstrom
Sc 0.000 0.000 0.000
Cr 2.902 2.902 2.902
Fe 1.451 1.451 1.451
Fe 4.353 4.353 4.353

***

# 4
! ScCrFe2 PBEsol relaxed; values from VASP
! * ΔH_f (0 K): 312 meV/atom
! * density of states at the Fermi level: 6.0 states/eV per cell
! * M_tot: 0.8 μB per formula unit
! * relative energy among the computed polymorphs: 0.1900 eV per atom
! * E_tot: -33.527 eV for the cell shown
&SYSTEM
  ibrav = 0, nat = 4, ntyp = 3
/
ATOMIC_SPECIES
Sc 44.96 Sc.upf
Cr 52.00 Cr.upf
Fe 55.84 Fe.upf
CELL_PARAMETERS angstrom
-1.781 1.781 4.125
1.781 -1.781 4.125
1.781 1.781 -4.125
ATOMIC_POSITIONS angstrom
Sc 0.000 0.000 0.000
Cr 0.000 1.781 2.062
Fe 1.781 0.000 2.062
Fe 0.000 0.000 4.125

***

# 5
! Cr2FeSe PBEsol relaxed; values from VASP
! * formation energy from raw total energies: 235 meV per atom
! * density of states at the Fermi level: 4.3 states/eV per cell
! * M_tot: 1.5 μB per formula unit
! * relative energy among the computed polymorphs: 0.0457 eV per atom
! * E_tot: -32.357 eV for the cell shown
&SYSTEM
  ibrav = 0, nat = 4, ntyp = 3
/
ATOMIC_SPECIES
Cr 52.00 Cr.upf
Fe 55.84 Fe.upf
Se 78.96 Se.upf
CELL_PARAMETERS angstrom
4.072 0.000 0.000
0.000 4.072 0.000
0.000 0.000 2.851
ATOMIC_POSITIONS angstrom
Cr 0.000 2.036 0.000
Cr 2.036 0.000 0.000
Fe 0.000 0.000 1.426
Se 2.036 2.036 1.426

***

# 6
! CrFeSe PBEsol relaxed; values from VASP
! * formation energy from raw total energies: 239 meV per atom
! * density of states at the Fermi level: 3.0 states/eV per cell
! * M_tot: 0.6 μB per formula unit
! * E_tot: -22.340 eV for the cell shown
&SYSTEM
  ibrav = 0, nat = 3, ntyp = 3
/
ATOMIC_SPECIES
Cr 52.00 Cr.upf
Fe 55.84 Fe.upf
Se 78.96 Se.upf
CELL_PARAMETERS angstrom
-1.433 1.433 4.439
1.433 -1.433 4.439
1.433 1.433 -4.439
ATOMIC_POSITIONS angstrom
Cr 0.000 0.000 0.000
Fe 0.000 0.000 5.960
Se 0.000 0.000 3.014

***

# 7
! Cr2FeSe PBEsol relaxed; values from VASP
! * formation energy from raw total energies: 201 meV per atom
! * density of states at the Fermi level: 3.5 states/eV per cell
! * M_tot: 0.5 μB per formula unit
! * relative energy among the computed polymorphs: 0.0117 eV per atom
! * E_tot: -32.492 eV for the cell shown
&SYSTEM
  ibrav = 0, nat = 4, ntyp = 3
/
ATOMIC_SPECIES
Cr 52.00 Cr.upf
Fe 55.84 Fe.upf
Se 78.96 Se.upf
CELL_PARAMETERS angstrom
4.142 -1.420 0.000
4.142 1.420 0.000
-1.140 0.000 4.062
ATOMIC_POSITIONS angstrom
Cr 0.000 0.000 0.000
Cr 1.130 0.000 2.517
Fe 3.477 0.000 2.008
Se 5.965 0.000 0.576

***

# 8
! Cr2FeSe PBEsol relaxed; values from VASP
! * formation energy from raw total energies: 190 meV per atom
! * density of states at the Fermi level: 2.9 states/eV per cell
! * M_tot: 0.4 μB per formula unit
! * relative energy among the computed polymorphs: 0.0000 eV per atom
! * E_tot: -32.539 eV for the cell shown
&SYSTEM
  ibrav = 0, nat = 4, ntyp = 3
/
ATOMIC_SPECIES
Cr 52.00 Cr.upf
Fe 55.84 Fe.upf
Se 78.96 Se.upf
CELL_PARAMETERS angstrom
2.927 0.000 0.000
0.000 2.927 0.000
0.000 0.000 5.576
ATOMIC_POSITIONS angstrom
Cr 0.000 0.000 0.000
Cr 1.464 1.464 1.497
Fe 0.000 0.000 2.650
Se 1.464 1.464 4.267

***

# 9
! Zn3Cr8FeSe16 PBEsol relaxed; values from VASP
! * formation energy from raw total energies: -474 meV per atom
! * density of states at the Fermi level: 13.3 states/eV per cell
! * M_tot: 27.8 μB per formula unit
! * E_tot: -170.510 eV for the cell shown
&SYSTEM
  ibrav = 0, nat = 28, ntyp = 4
/
ATOMIC_SPECIES
Zn 65.41 Zn.upf
Cr 52.00 Cr.upf
Fe 55.84 Fe.upf
Se 78.96 Se.upf
CELL_PARAMETERS angstrom
3.675 2.122 11.998
-3.675 2.122 11.998
0.000 -4.243 11.998
ATOMIC_POSITIONS angstrom
Zn 0.000 0.000 0.000
Zn 0.000 0.000 4.499
Zn 0.000 0.000 17.998
Cr -1.838 -1.061 14.244
Cr 0.000 -2.122 8.253
Cr -1.838 1.061 8.253
Cr 0.000 0.000 11.247
Cr 1.838 -1.061 14.244
Cr 0.000 2.122 14.244
Cr 1.838 1.061 8.253
Cr 0.000 0.000 29.242
Fe 0.000 0.000 22.499
Se -1.987 -1.147 18.807
Se 0.000 0.000 6.942
Se 0.000 -1.951 12.807
Se -1.690 0.975 12.807
Se 0.000 -2.253 21.702
Se -1.951 1.127 21.702
Se 0.000 0.000 15.563
Se -1.687 -0.974 27.679
Se 1.690 0.975 12.807
Se 0.000 0.000 24.878
Se 1.987 -1.147 18.807
Se 0.000 2.294 18.807
Se 1.687 -0.974 27.679
Se 0.000 1.948 27.679
Se 0.000 0.000 33.566
Se 1.951 1.127 21.702

***

# 10
! CrFeSi2 PBEsol relaxed; values from VASP
! * formation energy from raw total energies: 200 meV per atom
! * density of states at the Fermi level: 6.5 states/eV per cell
! * M_tot: 2.6 μB per formula unit
! * E_tot: -59.798 eV for the cell shown
&SYSTEM
  ibrav = 0, nat = 8, ntyp = 3
/
ATOMIC_SPECIES
Cr 52.00 Cr.upf
Fe 55.84 Fe.upf
Si 28.09 Si.upf
CELL_PARAMETERS angstrom
-1.765 1.765 8.187
1.765 -1.765 8.187
1.765 1.765 -8.187
ATOMIC_POSITIONS angstrom
Cr 0.000 0.000 0.000
Cr 0.000 1.765 4.093
Fe 1.765 0.000 4.093
Fe 0.000 0.000 8.187
Si 0.882 -0.879 6.140
Si 0.886 0.882 2.047
Si 0.882 2.643 -2.047
Si 0.879 0.882 10.234

***

# 11
! CrFeSi PBEsol relaxed; values from VASP
! * formation energy from raw total energies: -347 meV per atom
! * density of states at the Fermi level: 1.6 states/eV per cell
! * M_tot: 0.0 μB per formula unit
! * E_tot: -25.994 eV for the cell shown
&SYSTEM
  ibrav = 0, nat = 3, ntyp = 3
/
ATOMIC_SPECIES
Cr 52.00 Cr.upf
Fe 55.84 Fe.upf
Si 28.09 Si.upf
CELL_PARAMETERS angstrom
-1.333 1.333 4.472
1.333 -1.333 4.472
1.333 1.333 -4.472
ATOMIC_POSITIONS angstrom
Cr 0.000 0.000 0.000
Fe 0.000 0.000 2.933
Si 0.000 0.000 6.038

***

# 12
! Cr2FeSi PBEsol relaxed; values from VASP
! * formation energy from raw total energies: 18 meV per atom
! * density of states at the Fermi level: 3.6 states/eV per cell
! * M_tot: 0.0 μB per formula unit
! * E_tot: -35.122 eV for the cell shown
&SYSTEM
  ibrav = 0, nat = 4, ntyp = 3
/
ATOMIC_SPECIES
Cr 52.00 Cr.upf
Fe 55.84 Fe.upf
Si 28.09 Si.upf
CELL_PARAMETERS angstrom
2.248 -1.257 0.000
2.248 1.257 0.000
-1.054 0.000 7.839
ATOMIC_POSITIONS angstrom
Cr 0.000 0.000 0.000
Cr 0.009 0.000 5.802
Fe 1.484 0.000 3.914
Si 2.981 0.000 2.031

***

> Which value of E_tot does entry 9 give?

-170.510 eV for the cell shown

***

Please write out number 11 again, unchanged.
! CrFeSi PBEsol relaxed; values from VASP
! * formation energy from raw total energies: -347 meV per atom
! * density of states at the Fermi level: 1.6 states/eV per cell
! * M_tot: 0.0 μB per formula unit
! * E_tot: -25.994 eV for the cell shown
&SYSTEM
  ibrav = 0, nat = 3, ntyp = 3
/
ATOMIC_SPECIES
Cr 52.00 Cr.upf
Fe 55.84 Fe.upf
Si 28.09 Si.upf
CELL_PARAMETERS angstrom
-1.333 1.333 4.472
1.333 -1.333 4.472
1.333 1.333 -4.472
ATOMIC_POSITIONS angstrom
Cr 0.000 0.000 0.000
Fe 0.000 0.000 2.933
Si 0.000 0.000 6.038

***

> Look up the E_tot of the fifth one.

-32.357 eV for the cell shown